(1)
This record from the Alexandria database describes an optimized crystal structure of Ce2NdTmAs4. The functional is PBE.

Summary:
- ΔE_f: -1461 meV/atom
- Electronic total energy: -6.424 eV/atom

```
8
Lattice="7.2541 0.0000 0.0000 0.0000 4.1954 0.0000 -2.4264 0.0000 6.8520" Properties=species:S:1:pos:R:3 pbc="T T T"
Ce 0.0000 0.0000 0.0000
Ce -1.2132 2.0977 3.4260
Nd 2.4138 0.0000 3.4260
Tm 3.6270 2.0977 0.0000
As 1.2139 2.0977 1.6656
As 0.0007 0.0000 5.1907
As 4.8270 0.0000 1.6613
As 3.6138 2.0977 5.1864
```


(2)
This record from the Alexandria database describes an optimized crystal structure of PaGaAs2. The functional is PBE.

Summary:
- Distance to the lowest polymorph of the same formula: 441.0 meV/atom
- ΔE_f: -232 meV/atom
- Electronic total energy: -5.687 eV/atom

```
12
Lattice="4.2150 0.0000 0.0000 -2.1075 3.6503 0.0000 0.0000 0.0000 24.7409" Properties=species:S:1:pos:R:3 pbc="T T T"
Pa 0.0000 0.0000 0.0000
Pa 0.0000 2.4335 16.4939
Pa 2.1075 1.2168 8.2469
Ga 0.0000 0.0000 12.3704
Ga 0.0000 2.4335 4.1235
Ga 2.1075 1.2168 20.6174
As 0.0000 0.0000 9.7237
As 0.0000 0.0000 15.0171
As 0.0000 2.4335 1.4768
As 0.0000 2.4335 6.7702
As 2.1075 1.2168 17.9707
As 2.1075 1.2168 23.2641
```


(3)
This record from the Alexandria database describes an optimized crystal structure of TaCuHg2. The functional is PBE.

Summary:
- ΔE_f: 374 meV/atom
- Electronic total energy: -3.764 eV/atom

```
12
Lattice="3.0250 0.0000 0.0000 -1.5125 2.6198 0.0000 0.0000 0.0000 28.0621" Properties=species:S:1:pos:R:3 pbc="T T T"
Ta 0.0000 0.0000 0.0000
Ta 0.0000 1.7465 18.7081
Ta 1.5125 0.8732 9.3540
Cu 0.0000 0.0000 14.0311
Cu 0.0000 1.7465 4.6770
Cu 1.5125 0.8732 23.3851
Hg 0.0000 0.0000 6.8700
Hg 0.0000 0.0000 21.1921
Hg 0.0000 1.7465 11.8381
Hg 0.0000 1.7465 25.5780
Hg 1.5125 0.8732 2.4841
Hg 1.5125 0.8732 16.2240
```


(4)
This record from the Alexandria database describes an optimized crystal structure of ThInHg6. The functional is PBE.

Summary:
- ΔE_f: -89 meV/atom
- Electronic total energy: -1.585 eV/atom

```
8
Lattice="5.0798 0.0000 0.0000 2.4934 4.4353 0.0000 2.5114 -1.3403 9.1279" Properties=species:S:1:pos:R:3 pbc="T T T"
Th 0.0000 0.0000 0.0000
In 2.5024 1.5475 4.5639
Hg 2.5228 1.4902 1.4188
Hg 5.0098 3.0684 5.7402
Hg 5.0358 0.1139 7.2804
Hg 5.0488 2.9811 1.8475
Hg 5.0748 0.0265 3.3877
Hg 7.5618 1.6047 7.7091
```


(5)
This record from the Alexandria database describes an optimized crystal structure of ReSnIr3. The functional is PBE.

Summary:
- Distance to the lowest polymorph of the same formula: 1157.7 meV/atom
- ΔE_f: 2553 meV/atom
- Electronic total energy: -6.054 eV/atom

```
5
Lattice="4.7346 0.0000 0.0000 0.0000 4.7346 0.0000 0.0000 0.0000 4.7346" Properties=species:S:1:pos:R:3 pbc="T T T"
Re 0.0000 0.0000 0.0000
Sn 2.3673 2.3673 2.3673
Ir 0.0000 2.3673 2.3673
Ir 2.3673 0.0000 2.3673
Ir 2.3673 2.3673 0.0000
```


(6)
This record from the Alexandria database describes an optimized crystal structure of CuOsRh2. The functional is PBE.

Summary:
- Distance to the lowest polymorph of the same formula: 56.3 meV/atom
- ΔE_f: 79 meV/atom
- Electronic total energy: -7.428 eV/atom

```
12
Lattice="2.7334 0.0000 0.0000 -1.3667 2.3672 0.0000 0.0000 0.0000 25.8067" Properties=species:S:1:pos:R:3 pbc="T T T"
Cu 0.0000 0.0000 0.0000
Cu 0.0000 1.5782 17.2045
Cu 1.3667 0.7891 8.6022
Os 0.0000 0.0000 12.9034
Os 0.0000 1.5782 4.3011
Os 1.3667 0.7891 21.5056
Rh 0.0000 0.0000 6.4531
Rh 0.0000 0.0000 19.3536
Rh 0.0000 1.5782 10.7514
Rh 0.0000 1.5782 23.6575
Rh 1.3667 0.7891 2.1492
Rh 1.3667 0.7891 15.0553
```


(7)
This record from the Alexandria database describes an optimized crystal structure of PmPr2InC. The functional is PBE.

Summary:
- ΔE_f: -310 meV/atom
- Electronic total energy: -5.564 eV/atom

```
5
Lattice="5.1752 0.0000 0.0000 0.0000 5.1752 0.0000 0.0000 0.0000 5.0935" Properties=species:S:1:pos:R:3 pbc="T T T"
Pm 0.0000 0.0000 0.0000
Pr 0.0000 2.5876 2.5467
Pr 2.5876 0.0000 2.5467
In 2.5876 2.5876 0.0000
C 0.0000 0.0000 2.5467
```


(8)
This record from the Alexandria database describes an optimized crystal structure of Ni3Br5. The functional is PBE.

Summary:
- Distance to the lowest polymorph of the same formula: 35.9 meV/atom
- Electronic total energy: -3.013 eV/atom

```
16
Lattice="7.8327 0.0000 0.0000 0.0000 12.7256 0.0000 0.0000 0.0000 3.5371" Properties=species:S:1:pos:R:3 pbc="T T T"
Ni 0.0000 0.0000 0.0000
Ni 0.0000 2.1136 1.7686
Ni 0.0000 10.6120 1.7686
Ni 3.9163 4.2492 1.7686
Ni 3.9163 6.3628 0.0000
Ni 3.9163 8.4764 1.7686
Br 0.0000 6.3628 0.0000
Br 1.5514 0.0000 1.7686
Br 1.9582 3.1814 0.0000
Br 1.9582 9.5442 0.0000
Br 2.3649 6.3628 1.7686
Br 3.9163 0.0000 0.0000
Br 5.4678 6.3628 1.7686
Br 5.8745 3.1814 0.0000
Br 5.8745 9.5442 0.0000
Br 6.2813 0.0000 1.7686
```


(9)
This record from the Alexandria database describes an optimized crystal structure of MgGaH2. The functional is PBE.

Summary:
- Distance to the lowest polymorph of the same formula: 0.0 meV/atom
- Electronic total energy: -2.874 eV/atom

```
8
Lattice="3.0659 0.0000 0.0000 0.0000 6.7472 0.0000 0.0000 0.0000 4.9397" Properties=species:S:1:pos:R:3 pbc="T T T"
Mg 0.0000 0.9837 0.0000
Mg 1.5329 5.7635 2.4699
Ga 0.0000 3.2495 1.7006
Ga 1.5329 3.4978 4.1705
H 0.0000 4.9991 1.4374
H 0.0000 6.4688 3.4580
H 1.5329 0.2785 0.9881
H 1.5329 1.7481 3.9073
```


(10)
This record from the Alexandria database describes an optimized crystal structure of CdCu2W. The functional is PBE.

Summary:
- ΔE_f: 773 meV/atom
- Electronic total energy: -4.742 eV/atom

```
16
Lattice="6.2530 0.0000 0.0000 0.0000 6.2530 0.0000 0.0000 0.0000 6.2530" Properties=species:S:1:pos:R:3 pbc="T T T"
Cd 0.0000 0.0000 0.0000
Cd 0.0000 3.1265 3.1265
Cd 3.1265 0.0000 3.1265
Cd 3.1265 3.1265 0.0000
Cu 0.0000 0.0000 3.1265
Cu 0.0000 3.1265 0.0000
Cu 1.5632 1.5632 4.6897
Cu 1.5632 4.6897 1.5632
Cu 3.1265 0.0000 0.0000
Cu 3.1265 3.1265 3.1265
Cu 4.6897 1.5632 1.5632
Cu 4.6897 4.6897 4.6897
W 1.5632 1.5632 1.5632
W 1.5632 4.6897 4.6897
W 4.6897 1.5632 4.6897
W 4.6897 4.6897 1.5632
```


(11)
This record from the Alexandria database describes an optimized crystal structure of DySi2AgPt5. The functional is PBE.

Summary:
- Electronic total energy: -6.144 eV/atom

```
9
Lattice="4.1002 0.0000 0.0000 0.0000 4.1002 0.0000 0.0000 0.0000 9.0899" Properties=species:S:1:pos:R:3 pbc="T T T"
Dy 0.0000 0.0000 0.0000
Si 2.0501 2.0501 3.3862
Si 2.0501 2.0501 5.7037
Ag 0.0000 0.0000 4.5449
Pt 0.0000 2.0501 2.1469
Pt 0.0000 2.0501 6.9430
Pt 2.0501 0.0000 2.1469
Pt 2.0501 0.0000 6.9430
Pt 2.0501 2.0501 0.0000
```


(12)
This record from the Alexandria database describes an optimized crystal structure of DyTlGe2. The functional is PBE.

Summary:
- ΔE_f: -296 meV/atom
- Electronic total energy: -4.347 eV/atom

```
4
Lattice="4.6350 0.0000 0.0000 0.0000 4.6350 0.0000 0.0000 0.0000 4.1765" Properties=species:S:1:pos:R:3 pbc="T T T"
Dy 0.0000 0.0000 0.0000
Tl 2.3175 2.3175 0.0000
Ge 0.0000 2.3175 2.0882
Ge 2.3175 0.0000 2.0882
```


no.,M_tot (μB per formula unit)
1,1.3
2,0.0
3,0.0
4,0.0
5,0.0
6,0.0
7,0.0
8,3.0
9,0.0
10,0.0
11,0.0
12,0.0